PBE Rb2SnI5, optimized geometry; crystal system = monoclinic; total magnetization = 0.000 μB/atom; offset from the most stable computed form = 0.000 eV per atom; raw formation energy = -926 meV/atom; DOS at the Fermi energy = 0.14 states/eV/atom; calculated total energy = -2.64 eV/atom; space-group type = Cm
1.0
11.394 0.000 0.000
0.000 14.099 0.000
-4.356 0.000 5.692
Rb Sn I
4 2 10
Cartesian
0.000 3.422 0.000
0.000 10.677 0.000
5.697 3.627 0.000
5.697 10.472 0.000
3.027 0.000 2.409
8.724 7.050 2.409
0.297 0.000 1.270
-0.863 7.050 4.736
2.922 3.132 2.402
2.922 10.967 2.402
4.721 0.000 0.070
5.994 7.050 1.270
4.834 0.000 4.736
8.619 3.917 2.402
8.619 10.182 2.402
10.418 7.050 0.070

=====

PBE RbSnI3, optimized geometry; crystal system = monoclinic; total magnetization = 0.000 μB/atom; raw formation energy = -867 meV/atom; DOS at the Fermi energy = 0.00 states/eV/atom; calculated total energy = -2.79 eV/atom; space-group type = C2/c
1.0
6.403 -8.438 0.000
6.403 8.438 0.000
-5.735 0.000 10.477
Rb Sn I
4 4 12
Cartesian
2.102 8.273 7.858
4.969 3.746 2.619
2.102 -3.746 7.858
4.969 -8.273 2.619
-0.152 2.906 7.114
2.715 -2.906 1.875
4.355 2.906 8.602
7.223 -2.906 3.363
3.156 6.243 4.946
1.452 2.680 3.657
-1.673 2.317 9.577
6.781 6.243 0.293
1.194 -2.317 4.338
-1.415 -2.680 8.896
8.486 2.680 1.581
5.876 2.317 6.139
0.289 -6.243 10.185
8.744 -2.317 0.900
5.619 -2.680 6.820
3.914 -6.243 5.531

=====

PBE Rb2SnI, optimized geometry; crystal system = cubic; total magnetization = 0.750 μB/atom; offset from the most stable computed form = 0.000 eV per atom; raw formation energy = -423 meV/atom; DOS at the Fermi energy = 0.00 states/eV/atom; calculated total energy = -2.29 eV/atom; space-group type = Fm-3m
1.0
9.174 0.000 0.000
0.000 9.174 0.000
0.000 0.000 9.174
Rb Sn I
8 4 4
Cartesian
2.294 2.294 2.294
2.294 2.294 6.881
2.294 6.881 2.294
2.294 6.881 6.881
6.881 2.294 2.294
6.881 2.294 6.881
6.881 6.881 2.294
6.881 6.881 6.881
0.000 0.000 0.000
0.000 4.587 4.587
4.587 0.000 4.587
4.587 4.587 0.000
0.000 0.000 4.587
0.000 4.587 0.000
4.587 0.000 0.000
4.587 4.587 4.587

=====

PBE RbSnI3, optimized geometry; crystal system = orthorhombic; total magnetization = 0.000 μB/atom; raw formation energy = -618 meV/atom; DOS at the Fermi energy = 0.00 states/eV/atom; calculated total energy = -2.54 eV/atom; space-group type = Cmcm
1.0
4.025 -9.158 0.000
4.025 9.158 0.000
0.000 0.000 10.259
Rb Sn I
2 2 6
Cartesian
4.025 6.835 7.694
4.025 -6.835 2.565
4.025 1.825 7.694
4.025 -1.825 2.565
0.000 0.000 0.000
0.000 0.000 5.129
1.955 3.691 7.694
1.955 -3.691 2.565
6.095 3.691 7.694
6.095 -3.691 2.565

=====

PBE RbSn4I8, optimized geometry; crystal system = cubic; total magnetization = 0.000 μB/atom; offset from the most stable computed form = 0.023 eV per atom; raw formation energy = -527 meV/atom; DOS at the Fermi energy = 0.41 states/eV/atom; calculated total energy = -2.79 eV/atom; space-group type = F-43m
1.0
0.000 6.955 6.955
6.955 0.000 6.955
6.955 6.955 0.000
Rb Sn I
1 4 8
Cartesian
0.000 0.000 0.000
8.636 5.274 5.274
5.274 8.636 5.274
5.274 5.274 8.636
8.636 8.636 8.636
5.397 5.397 5.397
8.512 8.512 5.397
8.512 5.397 8.512
11.906 8.957 8.957
5.397 8.512 8.512
8.957 11.906 8.957
8.957 8.957 11.906
11.906 11.906 11.906

=====

PBE RbSnI3, optimized geometry; crystal system = hexagonal; total magnetization = 0.000 μB/atom; raw formation energy = -693 meV/atom; DOS at the Fermi energy = 0.00 states/eV/atom; calculated total energy = -2.62 eV/atom; space-group type = P6_3/mmc
1.0
5.435 0.000 0.000
-2.717 4.707 0.000
0.000 0.000 17.419
Rb Sn I
2 2 6
Cartesian
0.000 0.000 0.000
0.000 0.000 8.709
0.000 3.138 4.355
2.717 1.569 13.064
0.000 0.000 4.355
0.000 0.000 13.064
0.000 3.138 10.737
0.000 3.138 15.392
2.717 1.569 2.027
2.717 1.569 6.682

=====

PBE Rb2SrSnI6, optimized geometry; crystal system = monoclinic; total magnetization = 0.000 μB/atom; offset from the most stable computed form = 0.000 eV per atom; raw formation energy = -1261 meV/atom; DOS at the Fermi energy = 0.00 states/eV/atom; calculated total energy = -2.95 eV/atom; space-group type = P2_1/c
1.0
8.541 0.000 0.000
0.000 9.042 0.000
-8.444 0.000 12.357
Rb Sr Sn I
4 2 2 12
Cartesian
-0.242 0.756 3.068
-4.464 3.765 9.246
4.561 5.277 3.110
0.339 8.286 9.289
4.271 0.000 0.000
0.049 4.521 6.178
-4.222 0.000 6.178
0.000 4.521 0.000
-6.851 1.808 11.664
-2.629 2.713 5.486
-5.839 6.268 11.667
-1.617 7.295 5.488
-3.235 0.260 9.216
0.987 4.261 3.037
-0.889 4.781 9.319
3.333 8.782 3.141
1.714 1.747 6.868
5.936 2.774 0.690
2.726 6.329 6.871
6.948 7.234 0.692

=====

PBE Rb2SrSnI6, optimized geometry; crystal system = cubic; total magnetization = 0.000 μB/atom; offset from the most stable computed form = 0.058 eV per atom; raw formation energy = -1203 meV/atom; DOS at the Fermi energy = 0.00 states/eV/atom; calculated total energy = -2.90 eV/atom; space-group type = Fm-3m
1.0
0.000 6.376 6.376
6.376 0.000 6.376
6.376 6.376 0.000
Rb Sr Sn I
2 1 1 6
Cartesian
3.188 3.188 3.188
9.563 9.563 9.563
0.000 0.000 0.000
6.376 6.376 6.376
6.376 6.376 3.228
6.376 3.228 6.376
9.523 6.376 6.376
3.228 6.376 6.376
6.376 9.523 6.376
6.376 6.376 9.523

=====

PBE Rb2SrSnI, optimized geometry; crystal system = tetragonal; total magnetization = 0.000 μB/atom; raw formation energy = 26 meV/atom; DOS at the Fermi energy = 1.08 states/eV/atom; calculated total energy = -1.81 eV/atom; space-group type = P4/mmm
1.0
7.838 0.000 0.000
0.000 7.838 0.000
0.000 0.000 5.862
Rb Sr Sn I
2 1 1 1
Cartesian
0.000 3.919 0.000
3.919 0.000 0.000
0.000 0.000 0.000
0.000 0.000 2.931
3.919 3.919 2.931

=====

PBE Rb2TaSnI6, optimized geometry; crystal system = cubic; total magnetization = 0.300 μB/atom; raw formation energy = -607 meV/atom; DOS at the Fermi energy = 0.40 states/eV/atom; calculated total energy = -3.32 eV/atom; space-group type = Fm-3m
1.0
0.000 6.048 6.048
6.048 0.000 6.048
6.048 6.048 0.000
Rb Ta Sn I
2 1 1 6
Cartesian
3.024 3.024 3.024
9.072 9.072 9.072
0.000 0.000 0.000
6.048 6.048 6.048
6.048 6.048 2.877
6.048 2.877 6.048
9.219 6.048 6.048
2.877 6.048 6.048
6.048 9.219 6.048
6.048 6.048 9.219

=====

PBE RbTbSnI6, optimized geometry; crystal system = trigonal; total magnetization = 0.000 μB/atom; raw formation energy = -1137 meV/atom; DOS at the Fermi energy = 0.00 states/eV/atom; calculated total energy = -3.24 eV/atom; space-group type = P312
1.0
8.109 0.000 0.000
-4.055 7.023 0.000
0.000 0.000 8.082
Rb Tb Sn I
1 1 1 6
Cartesian
0.000 0.000 0.000
4.055 2.341 4.041
0.000 4.682 4.041
3.006 0.093 5.833
1.583 2.557 2.250
5.103 0.093 2.250
2.632 4.373 5.833
6.526 2.557 5.833
5.477 4.373 2.250

=====

PBE RbTcSn2I, optimized geometry; crystal system = tetragonal; total magnetization = 0.645 μB/atom; raw formation energy = 1739 meV/atom; DOS at the Fermi energy = 0.89 states/eV/atom; calculated total energy = -2.44 eV/atom; space-group type = P4/mmm
1.0
6.262 0.000 0.000
0.000 6.262 0.000
0.000 0.000 6.249
Rb Tc Sn I
1 1 2 1
Cartesian
0.000 0.000 0.000
3.131 3.131 3.125
0.000 3.131 0.000
3.131 0.000 0.000
0.000 0.000 3.125